# 1
Entry from Alexandria via LeMat-Bulk: crystalline Li2ReOs at its relaxed geometry (PBE).

Properties
space group: C2/m (12)
crystal system: monoclinic
energy above the lowest structure with this stoichiometry: 115 meV per atom
energy of formation: 0.229 eV/atom

Geometry as POSCAR:
```
Li2ReOs
1.0
4.9530 -0.0107 0.0047
4.2409 2.5588 0.0047
0.7143 0.1980 4.4762
Re Li Os
1 2 1
Direct
0.2500 0.2500 0.2500 Re
0.4980 0.4980 0.5018 Li
0.0020 0.0020 0.9982 Li
0.7500 0.7500 0.7500 Os
```



# 2
Entry from Alexandria via LeMat-Bulk: crystalline OsS2Cl at its relaxed geometry (PBE).

Properties
space group: Fm-3m (225)
crystal system: cubic
energy above the lowest structure with this stoichiometry: 1039 meV per atom
ΔE_f (raw): 0.978 eV per atom

Geometry as POSCAR:
```
OsS2Cl
1.0
2.0462 -3.4972 -1.6644
-0.1834 -3.8453 2.0900
-2.3297 -3.3023 -1.6897
Os S Cl
1 2 1
Direct
0.5000 0.5000 0.5000 Os
0.2500 0.2500 0.2500 S
0.7500 0.7500 0.7500 S
0.0000 0.0000 0.0000 Cl
```



# 3
Entry from Alexandria via LeMat-Bulk: crystalline SiPbN2O at its relaxed geometry (PBE).

Properties
space group: P4/mmm (123)
crystal system: tetragonal
ΔE_f (raw): 1.620 eV per atom

Geometry as POSCAR:
```
SiPbN2O
1.0
-2.1176 3.8711 0.3364
0.2040 -0.2719 4.4122
3.7836 2.0738 -0.0471
O Si Pb N
1 1 1 2
Direct
0.0000 0.0000 0.5000 O
0.5000 0.5000 0.5000 Si
0.0000 0.0000 0.0000 Pb
0.0000 0.5000 0.0000 N
0.5000 0.0000 0.0000 N
```



# 4
Entry from Alexandria via LeMat-Bulk: crystalline La2TiIn at its relaxed geometry (PBE).

Properties
space group: Fm-3m (225)
crystal system: cubic
energy above the lowest structure with this stoichiometry: 0 meV per atom
energy of formation: 0.031 eV/atom

Geometry as POSCAR:
```
La2TiIn
1.0
0.0000 3.8526 3.8526
3.8526 0.0000 3.8526
3.8526 3.8526 0.0000
Ti La In
1 2 1
Direct
0.0000 0.0000 0.0000 Ti
0.2500 0.2500 0.2500 La
0.7500 0.7500 0.7500 La
0.5000 0.5000 0.5000 In
```



# 5
Entry from Alexandria via LeMat-Bulk: crystalline KRb2NaZn at its relaxed geometry (PBE).

Properties
space group: P4/mmm (123)
crystal system: tetragonal
energy above the lowest structure with this stoichiometry: 41 meV per atom
energy of formation: 0.163 eV/atom

Geometry as POSCAR:
```
KRb2NaZn
1.0
6.9536 0.0000 0.0000
0.0000 6.9536 0.0000
0.0000 0.0000 6.6962
Zn Rb Na K
1 2 1 1
Direct
0.0000 0.0000 0.0000 Zn
0.0000 0.5000 0.0000 Rb
0.5000 0.0000 0.0000 Rb
0.5000 0.5000 0.5000 Na
0.0000 0.0000 0.5000 K
```



# 6
Entry from Alexandria via LeMat-Bulk: crystalline NaSeBr2F at its relaxed geometry (PBE).

Properties
space group: P4/mmm (123)
crystal system: tetragonal
energy above the lowest structure with this stoichiometry: 594 meV per atom
ΔE_f (raw): 0.120 eV per atom

Geometry as POSCAR:
```
NaSeBr2F
1.0
5.3987 0.0000 0.0000
0.0000 5.3987 0.0000
0.0000 0.0000 6.0362
Na Br Se F
1 2 1 1
Direct
0.0000 0.0000 0.0000 Na
0.5000 0.0000 0.0000 Br
0.0000 0.5000 0.0000 Br
0.0000 0.0000 0.5000 Se
0.5000 0.5000 0.5000 F
```



# 7
Entry from Alexandria via LeMat-Bulk: crystalline Li3AlPb at its relaxed geometry (PBE).

Properties
space group: Pm-3m (221)
crystal system: cubic
energy above the lowest structure with this stoichiometry: 0 meV per atom
energy of formation: 0.231 eV/atom

Geometry as POSCAR:
```
Li3AlPb
1.0
4.9195 0.0000 0.0000
0.0000 4.9195 0.0000
0.0000 0.0000 4.9195
Al Li Pb
1 3 1
Direct
0.0000 0.0000 0.0000 Al
0.5000 0.0000 0.0000 Li
0.0000 0.5000 0.0000 Li
0.0000 0.0000 0.5000 Li
0.5000 0.5000 0.5000 Pb
```



# 8
Entry from Alexandria via LeMat-Bulk: crystalline Na6AgBr8 at its relaxed geometry (PBE).

Properties
space group: Fm-3m (225)
crystal system: cubic
ΔE_f (raw): -1.275 eV per atom

Geometry as POSCAR:
```
Na6AgBr8
1.0
7.3456 0.0000 4.2410
2.4485 6.9255 4.2410
0.0000 0.0000 8.4820
Br Na Ag
8 6 1
Direct
0.7652 0.2348 0.2348 Br
0.7652 0.2348 0.7652 Br
0.7500 0.7500 0.7500 Br
0.2348 0.7652 0.7652 Br
0.2348 0.2348 0.7652 Br
0.2348 0.7652 0.2348 Br
0.2500 0.2500 0.2500 Br
0.7652 0.7652 0.2348 Br
0.5000 0.0000 0.5000 Na
0.0000 0.0000 0.5000 Na
0.5000 0.5000 0.0000 Na
0.5000 0.0000 0.0000 Na
0.0000 0.5000 0.0000 Na
0.0000 0.5000 0.5000 Na
0.0000 0.0000 0.0000 Ag
```



# 9
Entry from Alexandria via LeMat-Bulk: crystalline AcAgSbPt at its relaxed geometry (PBE).

Properties
space group: F-43m (216)
crystal system: cubic
ΔE_f (raw): -0.534 eV per atom

Geometry as POSCAR:
```
AcAgSbPt
1.0
5.1662 0.0000 0.0000
2.5831 4.4741 0.0000
2.5831 1.4914 4.2182
Sb Ac Pt Ag
1 1 1 1
Direct
0.7500 0.7500 0.7500 Sb
0.2500 0.2500 0.2500 Ac
0.0000 0.0000 0.0000 Pt
0.5000 0.5000 0.5000 Ag
```



# 10
Entry from Alexandria via LeMat-Bulk: crystalline Mg11In9Cu4 at its relaxed geometry (PBE).

Properties
space group: Cmmm (65)
crystal system: orthorhombic
energy of formation: -0.088 eV/atom

Geometry as POSCAR:
```
Mg11In9Cu4
1.0
3.5648 0.0000 0.0000
0.0000 11.4018 -4.8236
0.0000 0.0452 12.3801
Cu In Mg
4 9 11
Direct
0.5000 0.5496 0.7494 Cu
0.5000 0.4504 0.2506 Cu
0.5000 0.7494 0.5496 Cu
0.5000 0.2506 0.4504 Cu
0.5000 0.8478 0.3715 In
0.5000 0.0729 0.2221 In
0.5000 0.6285 0.1522 In
0.5000 0.7779 0.9271 In
0.5000 0.1522 0.6285 In
0.5000 0.2221 0.0729 In
0.5000 0.3715 0.8478 In
0.5000 0.9271 0.7779 In
0.5000 0.5000 0.5000 In
0.0000 0.1566 0.8434 Mg
0.0000 0.3126 0.3126 Mg
0.0000 0.9270 0.5834 Mg
0.0000 0.0730 0.4166 Mg
0.0000 0.4166 0.0730 Mg
0.0000 0.3741 0.6259 Mg
0.0000 0.5834 0.9270 Mg
0.0000 0.6259 0.3741 Mg
0.0000 0.0000 0.0000 Mg
0.0000 0.6874 0.6874 Mg
0.0000 0.8434 0.1566 Mg
```



# 11
Entry from Alexandria via LeMat-Bulk: crystalline KBC at its relaxed geometry (PBE).

Properties
space group: Cm (8)
crystal system: monoclinic
energy of formation: 0.396 eV/atom

Geometry as POSCAR:
```
KBC
1.0
7.7808 0.0000 0.0045
3.2113 4.4302 -1.4826
-3.2113 4.4302 1.4826
K C B
2 2 2
Direct
0.3172 0.3222 0.0704 K
0.3172 0.9296 0.6778 K
0.8197 0.0803 0.9197 C
0.8179 0.9012 0.0988 C
0.0637 0.0391 0.9609 B
0.5791 0.5240 0.4760 B
```



# 12
Entry from Alexandria via LeMat-Bulk: crystalline CeEr2Th3P6 at its relaxed geometry (PBE).

Properties
space group: C2/m (12)
crystal system: monoclinic
energy of formation: -1.562 eV/atom

Geometry as POSCAR:
```
CeEr2Th3P6
1.0
7.0754 -0.0009 0.0000
-3.5368 6.1280 0.0000
-1.1802 -2.0435 6.6387
Er P Th Ce
2 6 3 1
Direct
0.6671 0.3329 0.0000 Er
0.3329 0.6671 0.0000 Er
0.9191 0.5826 0.7576 P
0.5826 0.9191 0.7576 P
0.7436 0.7436 0.2408 P
0.2564 0.2564 0.7592 P
0.0809 0.4174 0.2424 P
0.4174 0.0809 0.2424 P
0.8341 0.1659 0.5000 Th
0.5000 0.5000 0.5000 Th
0.1659 0.8341 0.5000 Th
0.0000 0.0000 0.0000 Ce
```